Record 1
An optimized crystal structure of MnCdPt2, computed with PBE-GGA.

Summary:
The energy relative to the elements is -50 meV per atom. The calculation puts the mass density at 14144 kg/m³. Its density of states at the Fermi level is 3.4 states/eV per cell.

Lattice parameters (Å, degrees): 9.2986 9.2986 9.2986 17.78 17.78 17.78
Fractional positions:
Mn 0.0000 0.0000 0.0000
Cd 0.7535 0.7535 0.7535
Pt 0.2585 0.2585 0.2585
Pt 0.5054 0.5054 0.5054



Record 2
An optimized crystal structure of HfThHg, computed with PBE-GGA.

Summary:
The energy relative to the elements is -36 meV per atom. The calculation puts the mass density at 13228 kg/m³. Its density of states at the Fermi level is 4.1 states/eV per cell. As for the excess energy over the best structure of this formula in the dataset: 0 meV per atom.

Lattice parameters (Å, degrees): 7.1691 7.1691 7.1691 152.83 152.83 38.81
Fractional positions:
Hf 0.0000 0.0000 0.0000
Th 0.6755 0.6755 0.0000
Hg 0.3606 0.3606 0.0000



Please write out number 2 again, unchanged.
An optimized crystal structure of HfThHg, computed with PBE-GGA.

Summary:
The energy relative to the elements is -36 meV per atom. The calculation puts the mass density at 13228 kg/m³. Its density of states at the Fermi level is 4.1 states/eV per cell. As for the excess energy over the best structure of this formula in the dataset: 0 meV per atom.

Lattice parameters (Å, degrees): 7.1691 7.1691 7.1691 152.83 152.83 38.81
Fractional positions:
Hf 0.0000 0.0000 0.0000
Th 0.6755 0.6755 0.0000
Hg 0.3606 0.3606 0.0000



The lowest energy relative to the elements belongs to which entry?
MnCdPt2



What is the energy relative to the elements in the first record?
-50 meV per atom